Entry 1:
Below is CaTm2MgAu4 after structural relaxation, with properties calculated at the PBE level.

Unit cell a=4.954 b=4.954 c=8.621 alpha=73.30 beta=73.30 gamma=60.00
Sites, in units of the cell vectors:
Ca (0.000, 0.000, 0.000)
Tm (0.753, 0.753, 0.740)
Tm (0.247, 0.247, 0.260)
Mg (0.500, 0.500, 0.500)
Au (0.380, 0.380, 0.861)
Au (0.874, 0.874, 0.378)
Au (0.126, 0.126, 0.622)
Au (0.620, 0.620, 0.139)

Properties
E_form in eV per atom: -0.793
Magnetization in μB/atom: 0.000

=====

Entry 2:
Below is CaYMg2Au4 after structural relaxation, with properties calculated at the PBE level.

Unit cell a=4.948 b=4.948 c=8.477 alpha=73.03 beta=73.03 gamma=60.00
Sites, in units of the cell vectors:
Ca (0.000, 0.000, 0.000)
Y (0.500, 0.500, 0.500)
Mg (0.749, 0.749, 0.752)
Mg (0.251, 0.251, 0.248)
Au (0.376, 0.376, 0.873)
Au (0.872, 0.872, 0.383)
Au (0.128, 0.128, 0.617)
Au (0.624, 0.624, 0.127)

Properties
E_form in eV per atom: -0.722
Magnetization in μB/atom: 0.000

=====

Entry 3:
Below is CaY2MgAu4 after structural relaxation, with properties calculated at the PBE level.

Unit cell a=5.009 b=5.009 c=8.682 alpha=73.23 beta=73.23 gamma=60.00
Sites, in units of the cell vectors:
Ca (0.000, 0.000, 0.000)
Y (0.753, 0.753, 0.740)
Y (0.247, 0.247, 0.260)
Mg (0.500, 0.500, 0.500)
Au (0.378, 0.378, 0.865)
Au (0.875, 0.875, 0.376)
Au (0.125, 0.125, 0.624)
Au (0.622, 0.622, 0.135)

Properties
E_form in eV per atom: -0.793
Magnetization in μB/atom: 0.000

=====

Entry 4:
Below is CaMgZn5Au2 after structural relaxation, with properties calculated at the PBE level.

Unit cell a=4.844 b=4.844 c=7.830 alpha=90.00 beta=90.00 gamma=90.00
Sites, in units of the cell vectors:
Ca (0.000, 0.000, 0.500)
Mg (0.000, 0.000, 0.000)
Zn (0.000, 0.500, 0.263)
Zn (0.500, 0.000, 0.263)
Zn (0.000, 0.500, 0.737)
Zn (0.500, 0.000, 0.737)
Zn (0.500, 0.500, 0.500)
Au (0.500, 0.500, 0.170)
Au (0.500, 0.500, 0.830)

Properties
E_form in eV per atom: -0.066
Magnetization in μB/atom: 0.000

=====

Entry 5:
Below is Ca2MgZn3Au12 after structural relaxation, with properties calculated at the PBE level.

Unit cell a=8.081 b=8.081 c=8.081 alpha=64.75 beta=64.75 gamma=64.75
Sites, in units of the cell vectors:
Ca (0.602, 0.602, 0.602)
Ca (0.398, 0.398, 0.398)
Mg (0.000, 0.000, 0.000)
Zn (0.500, 0.000, 0.000)
Zn (0.000, 0.500, 0.000)
Zn (0.000, 0.000, 0.500)
Au (0.367, 0.367, 0.916)
Au (0.858, 0.858, 0.377)
Au (0.377, 0.858, 0.858)
Au (0.916, 0.367, 0.367)
Au (0.858, 0.377, 0.858)
Au (0.367, 0.916, 0.367)
Au (0.633, 0.633, 0.084)
Au (0.142, 0.142, 0.623)
Au (0.623, 0.142, 0.142)
Au (0.084, 0.633, 0.633)
Au (0.142, 0.623, 0.142)
Au (0.633, 0.084, 0.633)

Properties
E_form in eV per atom: -0.145
Magnetization in μB/atom: 0.000

=====

Entry 6:
Below is CaMg2ZnAu4 after structural relaxation, with properties calculated at the PBE level.

Unit cell a=4.648 b=4.648 c=8.790 alpha=74.67 beta=74.67 gamma=60.00
Sites, in units of the cell vectors:
Ca (0.000, 0.000, 0.000)
Mg (0.758, 0.758, 0.727)
Mg (0.242, 0.242, 0.273)
Zn (0.500, 0.500, 0.500)
Au (0.394, 0.394, 0.818)
Au (0.871, 0.871, 0.386)
Au (0.129, 0.129, 0.614)
Au (0.606, 0.606, 0.182)

Properties
E_form in eV per atom: -0.535
Magnetization in μB/atom: 0.000

=====

Entry 7:
Below is CaMn2Au2 after structural relaxation, with properties calculated at the PBE level.

Unit cell a=7.815 b=7.815 c=3.186 alpha=90.00 beta=90.00 gamma=90.00
Sites, in units of the cell vectors:
Ca (0.000, 0.000, 0.000)
Ca (0.500, 0.500, 0.000)
Mn (0.154, 0.654, 0.500)
Mn (0.654, 0.846, 0.500)
Mn (0.846, 0.346, 0.500)
Mn (0.346, 0.154, 0.500)
Au (0.360, 0.860, 0.000)
Au (0.860, 0.640, 0.000)
Au (0.640, 0.140, 0.000)
Au (0.140, 0.360, 0.000)

Properties
E_form in eV per atom: -0.068
Magnetization in μB/atom: 1.592
Relative energy among the computed polymorphs in eV per formula unit: 0.24

=====

Entry 8:
Below is Ca2MnAu after structural relaxation, with properties calculated at the PBE level.

Unit cell a=4.398 b=4.312 c=6.021 alpha=69.07 beta=90.00 gamma=90.00
Sites, in units of the cell vectors:
Ca (0.000, 0.982, 0.911)
Ca (0.500, 0.273, 0.329)
Mn (0.000, 0.688, 0.499)
Au (0.500, 0.557, 0.761)

Properties
E_form in eV per atom: -0.185
Magnetization in μB/atom: 0.950

=====

Entry 9:
Below is CaMnAu after structural relaxation, with properties calculated at the PBE level.

Unit cell a=5.879 b=5.879 c=3.546 alpha=72.45 beta=72.44 gamma=35.11
Sites, in units of the cell vectors:
Ca (0.339, 0.339, 0.661)
Mn (0.630, 0.630, 0.370)
Au (0.030, 0.030, 0.970)

Properties
E_form in eV per atom: -0.117
Magnetization in μB/atom: 1.435

=====

Entry 10:
Below is Ca2MnAu after structural relaxation, with properties calculated at the PBE level.

Unit cell a=5.869 b=5.869 c=5.869 alpha=135.67 beta=135.67 gamma=64.50
Sites, in units of the cell vectors:
Ca (0.000, 0.000, 0.000)
Ca (0.250, 0.750, 0.500)
Mn (0.500, 0.500, 0.000)
Au (0.750, 0.250, 0.500)

Properties
E_form in eV per atom: 0.000
Magnetization in μB/atom: 1.008